Run a
First-principles (GGA-PBE) data for a relaxed structure of TlTe2AuN, as listed in Alexandria.

Unit cell a=6.0781 b=6.0781 c=3.7384 alpha=90.00 beta=90.00 gamma=90.00
Closest atoms and distances in Å follow each position.
Fractional positions:
N 0.0000 0.0000 0.5000  2 Au 1.87
Au 0.0000 0.0000 0.0000  2 N 1.87
Te 0.5000 0.0000 0.0000  2 Au 3.04
Te 0.0000 0.5000 0.0000  2 Au 3.04
Tl 0.5000 0.5000 0.5000  8 Te 3.57, 2 Tl 3.74

Run b
First-principles (GGA-PBE) data for a relaxed structure of TlTe2AuN, as listed in Alexandria.

Unit cell a=5.9119 b=5.9119 c=4.1721 alpha=90.00 beta=90.00 gamma=90.00
Closest atoms and distances in Å follow each position.
Fractional positions:
Te 0.5000 0.0000 0.0000  2 Tl 2.96
Te 0.0000 0.5000 0.0000  2 Tl 2.96
N 0.0000 0.0000 0.5000  2 Tl 2.09
Au 0.5000 0.5000 0.5000  8 Te 3.62
Tl 0.0000 0.0000 0.0000  2 N 2.09

Most stable pick: run a. Distance to second place: 634 meV per atom.

Run a
First-principles (GGA-PBE) data for a relaxed structure of TlTeAuN2, as listed in Alexandria.

Unit cell a=4.2585 b=4.2585 c=6.6611 alpha=90.00 beta=90.00 gamma=90.00
Closest atoms and distances in Å follow each position.
Fractional positions:
N 0.0000 0.5000 0.0000  2 Tl 2.13
N 0.5000 0.0000 0.0000  2 Tl 2.13
Te 0.0000 0.0000 0.5000  4 Au 3.01, 2 Tl 3.33
Au 0.5000 0.5000 0.5000  4 Te 3.01
Tl 0.0000 0.0000 0.0000  4 N 2.13

Run b
First-principles (GGA-PBE) data for a relaxed structure of TlTeAuN2, as listed in Alexandria.

Unit cell a=4.3100 b=4.3100 c=5.9689 alpha=90.00 beta=90.00 gamma=90.00
Closest atoms and distances in Å follow each position.
Fractional positions:
Te 0.0000 0.0000 0.5000  2 Au 2.98, 4 Tl 3.05
N 0.0000 0.5000 0.0000  2 Au 2.15
N 0.5000 0.0000 0.0000  2 Au 2.15
Au 0.0000 0.0000 0.0000  4 N 2.15
Tl 0.5000 0.5000 0.5000  4 Te 3.05

Most stable pick: run b. Distance to second place: 230 meV per atom.

Run a
First-principles (GGA-PBE) data for a relaxed structure of VTe2AuN, as listed in Alexandria.

Unit cell a=5.6263 b=5.6263 c=3.7986 alpha=90.00 beta=90.00 gamma=90.00
Closest atoms and distances in Å follow each position.
Fractional positions:
Te 0.5000 0.0000 0.0000  2 Au 2.81
Te 0.0000 0.5000 0.0000  2 Au 2.81
Au 0.0000 0.0000 0.0000  2 N 1.90
N 0.0000 0.0000 0.5000  2 Au 1.90
V 0.5000 0.5000 0.5000  8 Te 3.39, 2 V 3.80

Run b
First-principles (GGA-PBE) data for a relaxed structure of VTe2AuN, as listed in Alexandria.

Unit cell a=5.3734 b=5.3734 c=3.6106 alpha=90.00 beta=90.00 gamma=90.00
Closest atoms and distances in Å follow each position.
Fractional positions:
Au 0.5000 0.5000 0.5000  8 Te 3.24, 2 Au 3.61
Te 0.0000 0.5000 0.0000  2 V 2.69
Te 0.5000 0.0000 0.0000  2 V 2.69
V 0.0000 0.0000 0.0000  2 N 1.81
N 0.0000 0.0000 0.5000  2 V 1.81

Most stable pick: run b. Distance to second place: 899 meV per atom.

Run a
First-principles (GGA-PBE) data for a relaxed structure of VTeAuN2, as listed in Alexandria.

Unit cell a=3.9430 b=3.9430 c=7.7245 alpha=90.00 beta=90.00 gamma=90.00
Closest atoms and distances in Å follow each position.
Fractional positions:
N 0.0000 0.5000 0.0000  2 Au 1.97
N 0.5000 0.0000 0.0000  2 Au 1.97
V 0.5000 0.5000 0.5000  4 Te 2.79
Au 0.0000 0.0000 0.0000  4 N 1.97
Te 0.0000 0.0000 0.5000  4 V 2.79

Run b
First-principles (GGA-PBE) data for a relaxed structure of VTeAuN2, as listed in Alexandria.

Unit cell a=3.8202 b=3.8202 c=5.8740 alpha=90.00 beta=90.00 gamma=90.00
Closest atoms and distances in Å follow each position.
Fractional positions:
N 0.5000 0.0000 0.0000  2 V 1.91
N 0.0000 0.5000 0.0000  2 V 1.91
Te 0.0000 0.0000 0.5000  4 Au 2.70, 2 V 2.94
Au 0.5000 0.5000 0.5000  4 Te 2.70
V 0.0000 0.0000 0.0000  4 N 1.91

Most stable pick: run b. Distance to second place: 1268 meV per atom.